Record 1
# Sc2TaCr

Sc2TaCr after structural relaxation (GGA-PBE, Alexandria).

Computed properties:
Spin magnetization, μB per formula unit: 2.867
Crystal system: trigonal
Volume, Å³ per atom: 20.53
ΔE_f, eV/f.u.: 2.20

Cell lengths 3.0520, 3.0520, 30.5388 Å; angles 90.00, 90.00, 120.00 degrees
Space group R-3m (No. 166, hexagonal axes)
Unique sites:
Sc (0.0000, 0.0000, 0.0871) (multiplicity 6)
Ta (0.0000, 0.0000, 0.5000) (multiplicity 3)
Cr (0.0000, 0.0000, 0.0000) (multiplicity 3)


Record 2
# B5H2Pt12

B5H2Pt12 after structural relaxation (GGA-PBE, Alexandria).

Computed properties:
Spin magnetization, μB per formula unit: 0.000
Energy, eV per atom: -6.02
Crystal system: monoclinic
Volume, Å³ per atom: 12.62

Cell lengths 11.3714, 5.6067, 8.1991 Å; angles 90.00, 113.41, 90.00 degrees
Space group C2/m (No. 12)
Unique sites:
B (0.0000, 0.0000, 0.0000) (multiplicity 2)
B (0.1834, 0.5000, 0.8560) (multiplicity 4)
B (0.2374, 0.5000, 0.4853) (multiplicity 4)
H (0.0000, 0.2064, 0.5000) (multiplicity 4)
Pt (0.0454, 0.5000, 0.2691) (multiplicity 4)
Pt (0.0714, 0.0000, 0.2951) (multiplicity 4)
Pt (0.1438, 0.2543, 0.0369) (multiplicity 8)
Pt (0.1609, 0.2518, 0.6266) (multiplicity 8)


Record 3
# PrDyLuSc

PrDyLuSc after structural relaxation (GGA-PBE, Alexandria).

Computed properties:
Spin magnetization, μB per formula unit: 0.000
Crystal system: cubic
Volume, Å³ per atom: 30.39
ΔE_f, eV/f.u.: 0.37

Cell lengths 7.8632, 7.8632, 7.8632 Å; angles 90.00, 90.00, 90.00 degrees
Space group F-43m (No. 216)
Unique sites:
Pr (0.0000, 0.0000, 0.0000) (multiplicity 4)
Dy (0.0000, 0.0000, 0.5000) (multiplicity 4)
Lu (0.2500, 0.2500, 0.7500) (multiplicity 4)
Sc (0.2500, 0.2500, 0.2500) (multiplicity 4)


Record 4
# K2VHgSe4

K2VHgSe4 after structural relaxation (GGA-PBE, Alexandria).

Computed properties:
Spin magnetization, μB per formula unit: 1.000
Energy, eV per atom: -3.95
Crystal system: orthorhombic
Volume, Å³ per atom: 32.07

Cell lengths 6.2514, 13.6363, 24.0779 Å; angles 90.00, 90.00, 90.00 degrees
Space group Fddd (No. 70, origin choice 2)
Unique sites:
K (0.1250, 0.1250, 0.3083) (multiplicity 16)
V (0.1250, 0.1250, 0.6250) (multiplicity 8)
Hg (0.1250, 0.1250, 0.1250) (multiplicity 8)
Se (0.0867, 0.2722, 0.8169) (multiplicity 32)


Record 5
# Cs2NaHg

Cs2NaHg after structural relaxation (GGA-PBE, Alexandria).

Computed properties:
Spin magnetization, μB per formula unit: 0.001
Crystal system: tetragonal
Volume, Å³ per atom: 58.37
ΔE_f, eV/f.u.: -0.33

Cell lengths 4.8620, 4.8620, 9.8770 Å; angles 90.00, 90.00, 90.00 degrees
Space group P4/mmm (No. 123)
Unique sites:
Cs (0.0000, 0.0000, 0.2269) (multiplicity 2)
Na (0.5000, 0.5000, 0.5000) (multiplicity 1)
Hg (0.5000, 0.5000, 0.0000) (multiplicity 1)


Record 6
# BaPmHgSb

BaPmHgSb after structural relaxation (GGA-PBE, Alexandria).

Computed properties:
Spin magnetization, μB per formula unit: 0.000
Energy, eV per atom: -3.37
Crystal system: cubic
Volume, Å³ per atom: 32.22

Cell lengths 8.0182, 8.0182, 8.0182 Å; angles 90.00, 90.00, 90.00 degrees
Space group F-43m (No. 216)
Unique sites:
Ba (0.0000, 0.0000, 0.0000) (multiplicity 4)
Pm (0.0000, 0.0000, 0.5000) (multiplicity 4)
Hg (0.2500, 0.2500, 0.7500) (multiplicity 4)
Sb (0.2500, 0.2500, 0.2500) (multiplicity 4)


Record 7
# La3Sm5In2

La3Sm5In2 after structural relaxation (GGA-PBE, Alexandria).

Computed properties:
Spin magnetization, μB per formula unit: 0.000
Crystal system: orthorhombic
Volume, Å³ per atom: 34.52
ΔE_f, eV/f.u.: 0.10

Cell lengths 13.2827, 15.5866, 6.6703 Å; angles 90.00, 90.00, 90.00 degrees
Space group Ibam (No. 72)
Unique sites:
La (0.0000, 0.0000, 0.2500) (multiplicity 4)
La (0.1264, 0.2378, 0.0000) (multiplicity 8)
Sm (0.0000, 0.5000, 0.2500) (multiplicity 4)
Sm (0.1067, 0.3371, 0.5000) (multiplicity 8)
Sm (0.2456, 0.5000, 0.2500) (multiplicity 8)
In (0.1362, 0.1458, 0.5000) (multiplicity 8)


Record 8
# FeCo2Os

FeCo2Os after structural relaxation (GGA-PBE, Alexandria).

Computed properties:
Spin magnetization, μB per formula unit: 6.426
Crystal system: orthorhombic
Volume, Å³ per atom: 12.46
ΔE_f, eV/f.u.: 1.04

Cell lengths 2.7902, 4.3083, 8.2949 Å; angles 90.00, 90.00, 90.00 degrees
Space group Cmmm (No. 65)
Unique sites:
Fe (0.0000, 0.0000, 0.0000) (multiplicity 2)
Co (0.0000, 0.5000, 0.2374) (multiplicity 4)
Os (0.0000, 0.0000, 0.5000) (multiplicity 2)


Record 9
# HfAl2Pb

HfAl2Pb after structural relaxation (GGA-PBE, Alexandria).

Computed properties:
Spin magnetization, μB per formula unit: 0.000
Crystal system: tetragonal
Volume, Å³ per atom: 22.74
ΔE_f, eV/f.u.: 1.37

Cell lengths 7.8789, 7.8789, 5.8610 Å; angles 90.00, 90.00, 90.00 degrees
Space group I-42d (No. 122)
Unique sites:
Hf (0.0000, 0.0000, 0.0000) (multiplicity 4)
Al (0.2488, 0.7500, 0.6250) (multiplicity 8)
Pb (0.0000, 0.0000, 0.5000) (multiplicity 4)


Record 10
# SrTe2Pb

SrTe2Pb after structural relaxation (GGA-PBE, Alexandria).

Computed properties:
Spin magnetization, μB per formula unit: 0.000
Energy, eV per atom: -3.28
Crystal system: trigonal
Volume, Å³ per atom: 46.60

Cell lengths 4.7233, 4.7233, 28.9456 Å; angles 90.00, 90.00, 120.00 degrees
Space group R-3m (No. 166, hexagonal axes)
Unique sites:
Sr (0.0000, 0.0000, 0.0000) (multiplicity 3)
Te (0.0000, 0.0000, 0.1059) (multiplicity 6)
Pb (0.0000, 0.0000, 0.5000) (multiplicity 3)


Record 11
# SrZn2As

SrZn2As after structural relaxation (GGA-PBE, Alexandria).

Computed properties:
Spin magnetization, μB per formula unit: 0.000
Crystal system: orthorhombic
Volume, Å³ per atom: 24.84
ΔE_f, eV/f.u.: -1.25

Cell lengths 4.2603, 6.2605, 7.4501 Å; angles 90.00, 90.00, 90.00 degrees
Space group Imm2 (No. 44)
Unique sites:
Sr (0.0000, 0.0000, 0.0000) (multiplicity 2)
Zn (0.0000, 0.0000, 0.5037) (multiplicity 2)
Zn (0.0000, 0.5000, 0.8155) (multiplicity 2)
As (0.0000, 0.5000, 0.1865) (multiplicity 2)


Record 12
# CsHRhS

CsHRhS after structural relaxation (GGA-PBE, Alexandria).

Computed properties:
Spin magnetization, μB per formula unit: 0.000
Energy, eV per atom: -4.19
Crystal system: monoclinic
Volume, Å³ per atom: 20.27

Cell lengths 7.9553, 3.4128, 6.0861 Å; angles 90.00, 101.14, 90.00 degrees
Space group Cm (No. 8)
Unique sites:
Cs (0.0000, 0.0000, 0.0000) (multiplicity 2)
H (0.3577, 0.5000, 0.4073) (multiplicity 2)
Rh (0.3131, 0.0000, 0.4804) (multiplicity 2)
S (0.1102, 0.5000, 0.5501) (multiplicity 2)


Question: Which of these has the highest volume?
Answer: Cs2NaHg


Question: spin magnetization of number 6 (BaPmHgSb)?
Answer: 0.000 μB per formula unit